No. 1
The following is a SCAN calculation of a crystal of Ba2Au relaxed with PBEsol, from Alexandria.

Uncorrected energy   -49.93 eV per atom

Cell lengths 15.390, 15.390, 15.390 Å; angles 90.00, 90.00, 90.00 degrees
Space group Fd-3m (No. 227, origin choice 2)
Unique sites:
Ba1 0.000 0.000 0.000 [16 per cell]
Ba2 0.064 0.375 0.875 [48 per cell]
Au1 0.023 0.023 0.227 [32 per cell]

=====

No. 2
The following is a SCAN calculation of a crystal of Li4LaOs relaxed with PBEsol, from Alexandria.

Uncorrected energy   -20.51 eV per atom

Cell lengths 7.244, 7.244, 7.244 Å; angles 90.00, 90.00, 90.00 degrees
Space group F-43m (No. 216)
Unique sites:
Li1 0.120 0.120 0.380 [16 per cell]
La1 0.000 0.000 0.000 [4 per cell]
Os1 0.250 0.250 0.750 [4 per cell]

=====

No. 3
The following is a SCAN calculation of a crystal of CsRbC3 relaxed with PBEsol, from Alexandria.

Uncorrected energy   -14.63 eV per atom
Energy above the most stable polymorph in this dataset   0.000 eV per formula unit

Cell lengths 5.636, 5.636, 5.636 Å; angles 90.00, 90.00, 90.00 degrees
Space group Pm-3m (No. 221)
Unique sites:
Cs1 0.000 0.000 0.000 [1 per cell]
Rb1 0.500 0.500 0.500 [1 per cell]
C1 0.000 0.500 0.500 [3 per cell]

=====

No. 4
The following is a SCAN calculation of a crystal of Ru3Se relaxed with PBEsol, from Alexandria.

Uncorrected energy   -30.66 eV per atom

Cell lengths 5.545, 7.150, 2.815 Å; angles 90.00, 90.00, 90.00 degrees
Space group Cmmm (No. 65)
Unique sites:
Ru1 0.000 0.000 0.000 [2 per cell]
Ru2 0.250 0.250 0.500 [4 per cell]
Se1 0.000 0.500 0.000 [2 per cell]

=====

No. 5
The following is a SCAN calculation of a crystal of Zr2CdIr2 relaxed with PBEsol, from Alexandria.

Uncorrected energy   -47.22 eV per atom

Cell lengths 3.899, 3.899, 13.583 Å; angles 90.00, 90.00, 90.00 degrees
Space group I4/mmm (No. 139)
Unique sites:
Zr1 0.000 0.000 0.120 [4 per cell]
Cd1 0.000 0.000 0.500 [2 per cell]
Ir1 0.000 0.500 0.250 [4 per cell]

=====

No. 6
The following is a SCAN calculation of a crystal of Be2NiW relaxed with PBEsol, from Alexandria.

Uncorrected energy   -23.51 eV per atom
Energy above the most stable polymorph in this dataset   0.417 eV per formula unit

Cell lengths 5.497, 5.497, 5.497 Å; angles 90.00, 90.00, 90.00 degrees
Space group Fm-3m (No. 225)
Unique sites:
Be1 0.250 0.250 0.250 [8 per cell]
Ni1 0.000 0.000 0.000 [4 per cell]
W1 0.000 0.000 0.500 [4 per cell]

=====

No. 7
The following is a SCAN calculation of a crystal of ZnSiOs2C relaxed with PBEsol, from Alexandria.

Uncorrected energy   -33.04 eV per atom

Cell lengths 4.364, 4.364, 4.308 Å; angles 90.00, 90.00, 90.00 degrees
Space group P4/mmm (No. 123)
Unique sites:
Zn1 0.000 0.000 0.000 [1 per cell]
Si1 0.000 0.000 0.500 [1 per cell]
Os1 0.000 0.500 0.500 [2 per cell]
C1 0.500 0.500 0.000 [1 per cell]

=====

No. 8
The following is a SCAN calculation of a crystal of Ba3CuN relaxed with PBEsol, from Alexandria.

Uncorrected energy   -28.74 eV per atom

Cell lengths 5.475, 5.475, 5.475 Å; angles 90.00, 90.00, 90.00 degrees
Space group Pm-3m (No. 221)
Unique sites:
Ba1 0.000 0.000 0.500 [3 per cell]
Cu1 0.500 0.500 0.500 [1 per cell]
N1 0.000 0.000 0.000 [1 per cell]